A plane-wave DFT calculation with PBE-GGA was carried out for a relaxed structure of LaDy6Y2Ho3.

## Properties
crystal system	monoclinic
energy	-4.93	eV/atom

Unit cell a=6.191 b=6.191 c=11.522 alpha=90.01 beta=90.01 gamma=119.94
Fractional coordinates of all 12 atoms:
La: 0.000 0.000 0.000
Dy: 0.000 0.334 0.747
Dy: 0.000 0.666 0.253
Dy: 0.334 0.000 0.747
Dy: 0.334 0.334 0.253
Dy: 0.666 0.000 0.253
Dy: 0.666 0.666 0.747
Y: 0.334 0.666 0.000
Y: 0.666 0.334 0.000
Ho: 0.000 0.000 0.500
Ho: 0.333 0.667 0.500
Ho: 0.667 0.333 0.500